[1]
Rb2U3InSe8, relaxed, DFT GGA-PBE; total magnetization = 0.3571 μB per atom; energy = -5.822 eV per atom; density = 5211 kg/m3
1.0
4.2268 2.4403 8.4008
-4.2268 2.4403 8.4008
0.0000 -4.8807 8.4008
Rb U In Se
2 3 1 8
Direct
0.0000 0.0000 0.0000 Rb
0.3604 0.3604 0.3604 Rb
0.4983 0.9988 0.9988 U
0.9988 0.4983 0.9988 U
0.9988 0.9988 0.4983 U
0.6140 0.6140 0.6140 In
0.2036 0.7374 0.7374 Se
0.2259 0.2259 0.2259 Se
0.2593 0.2593 0.8012 Se
0.2593 0.8012 0.2593 Se
0.7374 0.2036 0.7374 Se
0.7374 0.7374 0.2036 Se
0.7725 0.7725 0.7725 Se
0.8012 0.2593 0.2593 Se


[2]
RbUInSe4, relaxed, DFT GGA-PBE; total magnetization = 0.0101 μB per atom; energy = -5.005 eV per atom; density = 5141 kg/m3
1.0
-3.9540 4.1573 7.4100
3.9540 -4.1573 7.4100
3.9540 4.1573 -7.4100
Rb U In Se
2 2 2 8
Direct
0.3920 0.1420 0.2500 Rb
0.6080 0.8580 0.7500 Rb
0.0000 0.5000 0.5000 U
0.5000 0.5000 0.0000 U
0.0000 0.0000 0.5000 In
0.0000 0.5000 0.0000 In
0.1979 0.6760 0.5218 Se
0.2219 0.2455 0.5235 Se
0.2219 0.6984 0.9765 Se
0.3458 0.3240 0.0218 Se
0.6542 0.6760 0.9782 Se
0.7781 0.3016 0.0235 Se
0.7781 0.7545 0.4765 Se
0.8021 0.3240 0.4782 Se


[3]
Rb2UInSe5, relaxed, DFT GGA-PBE; total magnetization = 0.1141 μB per atom; energy = -4.726 eV per atom; density = 4815 kg/m3
1.0
2.1327 -10.0591 0.0000
2.1327 10.0591 0.0000
0.0000 0.0000 14.7653
Rb U In Se
4 2 2 10
Direct
0.1137 0.8863 0.5000 Rb
0.1278 0.8722 0.1410 Rb
0.8722 0.1278 0.6410 Rb
0.8863 0.1137 0.0000 Rb
0.2069 0.7931 0.8443 U
0.7931 0.2069 0.3443 U
0.4373 0.5627 0.2492 In
0.5627 0.4373 0.7492 In
0.0630 0.9370 0.8619 Se
0.2933 0.7067 0.4649 Se
0.3035 0.6965 0.2152 Se
0.3350 0.6650 0.8254 Se
0.4979 0.5021 0.1029 Se
0.5021 0.4979 0.6029 Se
0.6650 0.3350 0.3254 Se
0.6965 0.3035 0.7152 Se
0.7067 0.2933 0.9649 Se
0.9370 0.0630 0.3619 Se


[4]
RbZn2InSe, relaxed, DFT GGA-PBE; total magnetization = 0.0000 μB per atom; energy = -2.035 eV per atom; density = 4185 kg/m3
1.0
5.3305 0.0000 0.0000
0.0000 5.3305 0.0000
0.0000 0.0000 5.7259
Rb Zn In Se
1 2 1 1
Direct
0.0000 0.0000 0.0000 Rb
0.0000 0.5000 0.5000 Zn
0.5000 0.0000 0.5000 Zn
0.5000 0.5000 0.5000 In
0.5000 0.5000 0.0000 Se


[5]
Rb2ZrInSe5, relaxed, DFT GGA-PBE; total magnetization = 0.0367 μB per atom; energy = -4.390 eV per atom; density = 4228 kg/m3
1.0
1.9900 -10.3064 0.0000
1.9900 10.3064 0.0000
0.0000 0.0000 14.7785
Rb Zr In Se
4 2 2 10
Direct
0.1252 0.8748 0.5000 Rb
0.1380 0.8620 0.1232 Rb
0.8620 0.1380 0.6232 Rb
0.8748 0.1252 0.0000 Rb
0.2136 0.7864 0.8267 Zr
0.7864 0.2136 0.3267 Zr
0.4352 0.5648 0.2449 In
0.5648 0.4352 0.7449 In
0.0686 0.9314 0.8599 Se
0.2948 0.7052 0.4480 Se
0.3081 0.6919 0.1963 Se
0.3359 0.6641 0.8156 Se
0.4988 0.5012 0.0982 Se
0.5012 0.4988 0.5982 Se
0.6641 0.3359 0.3156 Se
0.6919 0.3081 0.6963 Se
0.7052 0.2948 0.9480 Se
0.9314 0.0686 0.3599 Se


[6]
Rb2ZrInSe4, relaxed, DFT GGA-PBE; total magnetization = 0.0000 μB per atom; energy = -4.429 eV per atom; density = 3677 kg/m3
1.0
0.0000 7.3251 12.1341
3.5204 0.0000 12.1341
3.5204 7.3251 0.0000
Rb Zr In Se
4 2 2 8
Direct
0.0573 0.0573 0.6927 Rb
0.3073 0.3073 0.9427 Rb
0.6927 0.6927 0.0573 Rb
0.9427 0.9427 0.3073 Rb
0.1250 0.1250 0.1250 Zr
0.8750 0.8750 0.8750 Zr
0.3750 0.3750 0.3750 In
0.6250 0.6250 0.6250 In
0.0538 0.3087 0.3948 Se
0.2572 0.6052 0.6913 Se
0.3087 0.0538 0.7428 Se
0.3948 0.7428 0.0538 Se
0.6052 0.2572 0.9462 Se
0.6913 0.9462 0.2572 Se
0.7428 0.3948 0.3087 Se
0.9462 0.6913 0.6052 Se


[7]
RbInSi3, relaxed, DFT GGA-PBE; total magnetization = 0.0000 μB per atom; relative energy among the computed polymorphs = 0.000 eV/atom; energy = -3.029 eV per atom; density = 3067 kg/m3
1.0
5.3610 0.0000 0.0000
0.0000 5.3610 0.0000
0.0000 0.0000 5.3610
Rb In Si
1 1 3
Direct
0.0000 0.0000 0.0000 Rb
0.5000 0.5000 0.5000 In
0.0000 0.5000 0.5000 Si
0.5000 0.0000 0.5000 Si
0.5000 0.5000 0.0000 Si


[8]
RbIn2Si2, relaxed, DFT GGA-PBE; total magnetization = 0.0000 μB per atom; relative energy among the computed polymorphs = 0.241 eV/atom; energy = -3.137 eV per atom; density = 4660 kg/m3
1.0
8.7128 0.0000 0.0000
0.0000 8.7128 0.0000
0.0000 0.0000 3.4854
Rb In Si
2 4 4
Direct
0.0000 0.0000 0.0000 Rb
0.5000 0.5000 0.0000 Rb
0.1547 0.3453 0.5000 In
0.3453 0.8453 0.5000 In
0.6547 0.1547 0.5000 In
0.8453 0.6547 0.5000 In
0.1106 0.6106 0.0000 Si
0.3894 0.1106 0.0000 Si
0.6106 0.8894 0.0000 Si
0.8894 0.3894 0.0000 Si


| no. | formation energy without anion corrections (eV per atom) | N(E_F) (states/eV/cell) |
| --- | --- | --- |
| 1 | -1.08 | 15.82 |
| 2 | -0.87 | 3.24 |
| 3 | -1.02 | 11.66 |
| 4 | -0.09 | 1.25 |
| 5 | -0.99 | 11.66 |
| 6 | -1.03 | 5.55 |
| 7 | 0.97 | 3.46 |
| 8 | 0.32 | 5.31 |